Below is an optimized crystal structure of InCN2F, with properties calculated at the PBE-GGA level.

Calculated values
V, A^3/atom: 11.29
Uncorrected formation energy, eV/atom: 1.280
Size of the total moment, μB/atom: 0.00

a b c (Å): 3.237 3.237 5.388
angles (deg): 90.00 90.00 90.00
Positions (direct):
In1 0.000 0.000 0.000
C1 0.500 0.500 0.500
N1 0.000 0.500 0.500
N2 0.500 0.000 0.500
F1 0.500 0.500 0.000

Below is an optimized crystal structure of InCNF2, with properties calculated at the PBE-GGA level.

Calculated values
V, A^3/atom: 16.50
Uncorrected formation energy, eV/atom: 0.780
Size of the total moment, μB/atom: 0.00

a b c (Å): 4.335 4.335 4.388
angles (deg): 90.00 90.00 90.00
Positions (direct):
In1 0.000 0.000 0.000
C1 0.500 0.500 0.500
N1 0.000 0.000 0.500
F1 0.000 0.500 0.000
F2 0.500 0.000 0.000

Below is an optimized crystal structure of InCN2F, with properties calculated at the PBE-GGA level.

Calculated values
V, A^3/atom: 12.75
Uncorrected formation energy, eV/atom: -0.499
Size of the total moment, μB/atom: 0.00

a b c (Å): 5.217 3.231 7.572
angles (deg): 90.00 92.02 90.00
Positions (direct):
In1 0.128 0.250 0.284
In2 0.872 0.750 0.716
C1 0.366 0.250 0.813
C2 0.634 0.750 0.187
N1 0.130 0.250 0.823
N2 0.399 0.750 0.188
N3 0.601 0.250 0.812
N4 0.870 0.750 0.177
F1 0.194 0.750 0.497
F2 0.806 0.250 0.503

Below is an optimized crystal structure of InCNF2, with properties calculated at the PBE-GGA level.

Calculated values
V, A^3/atom: 11.55
Uncorrected formation energy, eV/atom: -0.402
Size of the total moment, μB/atom: 0.00

a b c (Å): 4.787 4.787 2.520
angles (deg): 90.00 90.00 90.00
Positions (direct):
In1 0.000 0.000 0.000
C1 0.500 0.500 0.500
N1 0.500 0.500 0.000
F1 0.000 0.500 0.500
F2 0.500 0.000 0.500

Below is an optimized crystal structure of InCN2F, with properties calculated at the PBE-GGA level.

Calculated values
V, A^3/atom: 16.05
Uncorrected formation energy, eV/atom: 2.092
Size of the total moment, μB/atom: 0.39

a b c (Å): 4.364 4.364 4.214
angles (deg): 90.00 90.00 90.00
Positions (direct):
In1 0.000 0.000 0.000
C1 0.500 0.500 0.500
N1 0.000 0.500 0.000
N2 0.500 0.000 0.000
F1 0.000 0.000 0.500

Below is an optimized crystal structure of InOsCF2, with properties calculated at the PBE-GGA level.

Calculated values
V, A^3/atom: 15.00
Uncorrected formation energy, eV/atom: -0.108
Size of the total moment, μB/atom: 0.03

a b c (Å): 4.370 4.370 3.927
angles (deg): 90.00 90.00 90.00
Positions (direct):
In1 0.000 0.000 0.000
Os1 0.500 0.500 0.500
C1 0.500 0.500 0.000
F1 0.000 0.500 0.500
F2 0.500 0.000 0.500

Below is an optimized crystal structure of In2PdCF, with properties calculated at the PBE-GGA level.

Calculated values
V, A^3/atom: 21.89
Uncorrected formation energy, eV/atom: 0.114
Size of the total moment, μB/atom: 0.00

a b c (Å): 5.351 5.351 3.822
angles (deg): 90.00 90.00 90.00
Positions (direct):
In1 0.000 0.500 0.000
In2 0.500 0.000 0.000
Pd1 0.000 0.000 0.000
C1 0.000 0.000 0.500
F1 0.500 0.500 0.500

Below is an optimized crystal structure of RbInC2F, with properties calculated at the PBE-GGA level.

Calculated values
V, A^3/atom: 22.36
Uncorrected formation energy, eV/atom: 1.954
Size of the total moment, μB/atom: 0.65

a b c (Å): 4.807 4.807 4.838
angles (deg): 90.00 90.00 90.00
Positions (direct):
Rb1 0.000 0.000 0.000
In1 0.500 0.500 0.000
C1 0.000 0.500 0.500
C2 0.500 0.000 0.500
F1 0.000 0.000 0.500